## CdNiSn2 (GGA-PBE)

Data for an optimized crystal structure of CdNiSn2.

Summary:
Crystal system: tetragonal
Total moment in μB per formula unit: 0.00
Final energy in eV for the cell shown: -55.94
Formation enthalpy at 0 K in eV/atom: 0.18
V in Å³ per atom: 23.71
Density in g/cm³: 7.15

Cell and atoms, written as CIF:
```
data_CdNiSn2
_cell_length_a 4.6824
_cell_length_b 4.6824
_cell_length_c 17.3052
_cell_angle_alpha 90.00
_cell_angle_beta 90.00
_cell_angle_gamma 90.00
_space_group_name_H-M_alt 'I -4 2 d'
_space_group_IT_number 122
_space_group_name_Hall 'I -4 2bw'
loop_
_atom_site_label
_atom_site_type_symbol
_atom_site_fract_x
_atom_site_fract_y
_atom_site_fract_z
_atom_site_occupancy
Cd1 Cd 0.0000 0.0000 0.0000 1
Ni1 Ni 0.0000 0.0000 0.5000 1
Sn1 Sn 0.1990 0.2500 0.6250 1
```

=====

## ZrGaI3 (GGA-PBE)

Data for an optimized crystal structure of ZrGaI3.

Summary:
Crystal system: cubic
Total moment in μB per formula unit: 2.40
Final energy in eV for the cell shown: -14.29
V in Å³ per atom: 36.36
Density in g/cm³: 4.95
Formation energy without anion corrections in eV/atom: 0.39
Energy above the most stable polymorph in this dataset in kJ/mol of formula units: 308

Cell and atoms, written as CIF:
```
data_ZrGaI3
_cell_length_a 5.6648
_cell_length_b 5.6648
_cell_length_c 5.6648
_cell_angle_alpha 90.00
_cell_angle_beta 90.00
_cell_angle_gamma 90.00
_space_group_name_H-M_alt 'P m -3 m'
_space_group_IT_number 221
_space_group_name_Hall '-P 4 2 3'
loop_
_atom_site_label
_atom_site_type_symbol
_atom_site_fract_x
_atom_site_fract_y
_atom_site_fract_z
_atom_site_occupancy
Zr1 Zr 0.0000 0.0000 0.0000 1
Ga1 Ga 0.5000 0.5000 0.5000 1
I1 I 0.0000 0.5000 0.5000 1
```

=====

## KSiTc2 (GGA-PBE)

Data for an optimized crystal structure of KSiTc2.

Summary:
Crystal system: monoclinic
Total moment in μB per formula unit: 0.00
Final energy in eV for the cell shown: -25.55
V in Å³ per atom: 21.54
Density in g/cm³: 5.07
Formation energy without anion corrections in eV/atom: 0.43

Cell and atoms, written as CIF:
```
data_KSiTc2
_cell_length_a 2.8669
_cell_length_b 4.1887
_cell_length_c 7.2673
_cell_angle_alpha 90.00
_cell_angle_beta 99.07
_cell_angle_gamma 90.00
_space_group_name_H-M_alt 'P 1 m 1'
_space_group_IT_number 6
loop_
_space_group_symop_operation_xyz
'x,y,z'
'x,-y,z'
loop_
_atom_site_label
_atom_site_type_symbol
_atom_site_fract_x
_atom_site_fract_y
_atom_site_fract_z
_atom_site_occupancy
K1 K 0.0000 0.0000 0.0000 1
Si1 Si 0.6386 0.5000 0.3200 1
Tc1 Tc 0.2499 0.5000 0.6060 1
Tc2 Tc 0.6561 0.0000 0.5010 1
```

=====

## SrCo6S8 (GGA-PBE)

Data for an optimized crystal structure of SrCo6S8.

Summary:
Crystal system: trigonal
Total moment in μB per formula unit: 0.00
Final energy in eV for the cell shown: -258.30
V in Å³ per atom: 15.96
Density in g/cm³: 4.84
Formation energy without anion corrections in eV/atom: -0.58

Cell and atoms, written as CIF:
```
data_SrCo6S8
_cell_length_a 8.7391
_cell_length_b 8.7391
_cell_length_c 10.8575
_cell_angle_alpha 90.00
_cell_angle_beta 90.00
_cell_angle_gamma 120.00
_space_group_name_H-M_alt 'R -3'
_space_group_IT_number 148
_space_group_name_Hall '-R 3'
loop_
_atom_site_label
_atom_site_type_symbol
_atom_site_fract_x
_atom_site_fract_y
_atom_site_fract_z
_atom_site_occupancy
Sr1 Sr 0.0000 0.0000 0.0000 1
Co1 Co 0.0165 0.8177 0.3869 1
S1 S 0.0000 0.0000 0.2602 1
S2 S 0.0275 0.6362 0.2468 1
```

=====

## ScNiBr2 (GGA-PBE)

Data for an optimized crystal structure of ScNiBr2.

Summary:
Crystal system: monoclinic
Total moment in μB per formula unit: 0.00
Final energy in eV for the cell shown: -36.27
V in Å³ per atom: 26.45
Density in g/cm³: 4.13
Formation energy without anion corrections in eV/atom: -0.67
Energy above the most stable polymorph in this dataset in kJ/mol of formula units: 41

Cell and atoms, written as CIF:
```
data_ScNiBr2
_cell_length_a 11.8693
_cell_length_b 3.4993
_cell_length_c 5.1259
_cell_angle_alpha 90.00
_cell_angle_beta 96.30
_cell_angle_gamma 90.00
_space_group_name_H-M_alt 'C 1 m 1'
_space_group_IT_number 8
loop_
_space_group_symop_operation_xyz
'x,y,z'
'x,-y,z'
'x+1/2,y+1/2,z'
'x+1/2,-y+1/2,z'
loop_
_atom_site_label
_atom_site_type_symbol
_atom_site_fract_x
_atom_site_fract_y
_atom_site_fract_z
_atom_site_occupancy
Sc1 Sc 0.0000 0.0000 0.0000 1
Ni1 Ni 0.3715 0.0000 0.1515 1
Br1 Br 0.1785 0.5000 0.1183 1
Br2 Br 0.3989 0.0000 0.6352 1
```

=====

## CsLiPr2O4 (GGA-PBE)

Data for an optimized crystal structure of CsLiPr2O4.

Summary:
Crystal system: orthorhombic
Total moment in μB per formula unit: 0.00
Final energy in eV for the cell shown: -212.91
V in Å³ per atom: 17.62
Density in g/cm³: 5.72
Formation energy without anion corrections in eV/atom: -2.63

Cell and atoms, written as CIF:
```
data_CsLiPr2O4
_cell_length_a 3.6964
_cell_length_b 12.5219
_cell_length_c 12.1821
_cell_angle_alpha 90.00
_cell_angle_beta 90.00
_cell_angle_gamma 90.00
_space_group_name_H-M_alt 'C m c m'
_space_group_IT_number 63
_space_group_name_Hall '-C 2c 2'
loop_
_atom_site_label
_atom_site_type_symbol
_atom_site_fract_x
_atom_site_fract_y
_atom_site_fract_z
_atom_site_occupancy
Cs1 Cs 0.0000 0.0985 0.2500 1
Li1 Li 0.0000 0.1837 0.7500 1
Pr1 Pr 0.0000 0.3657 0.0571 1
O1 O 0.0000 0.0000 0.0000 1
O2 O 0.0000 0.2473 0.5993 1
O3 O 0.0000 0.3895 0.2500 1
```